(1)
## Tb6CeYEr2 (PBE)

Data for crystalline Tb6CeYEr2 at its relaxed geometry.

## Properties
Formation enthalpy at 0 K, kJ per mole of atoms: 25
Total magnetization, Bohr magnetons per cell: 1.83

a = 8.9261 Å, b = 6.7517 Å, c = 6.6117 Å
α = 120.70°, β = 104.44°, γ = 90.00°
Each line ends with the local moment (μB).
Element x y z (fractional)
1 Tb 0.4187 0.6309 0.2618  0.08
2 Tb 0.1964 0.0731 0.6639  0.06
3 Tb 0.8036 0.4091 0.3361  0.06
4 Tb 0.1964 0.5909 0.6639  0.06
5 Tb 0.8036 0.9269 0.3361  0.06
6 Tb 0.5813 0.3691 0.7382  0.08
7 Ce 0.0000 0.5000 0.0000  0.84
8 Y 0.5000 0.0000 0.0000  -0.01
9 Er 0.1720 0.0903 0.1807  0.07
10 Er 0.8280 0.9097 0.8193  0.07



(2)
## KAl9Ag4 (PBE)

Data for crystalline KAl9Ag4 at its relaxed geometry.

## Properties
Formation enthalpy at 0 K, kJ per mole of atoms: -3
Total magnetization, Bohr magnetons per cell: 0.00

a = 8.9975 Å, b = 8.9975 Å, c = 9.1926 Å
α = 119.30°, β = 119.30°, γ = 90.00°
Element x y z (fractional)
1 K 0.7500 0.7500 0.5000
2 K 0.2500 0.2500 0.5000
3 Al 0.0674 0.2030 0.0000
4 Al 0.9326 0.7970 0.0000
5 Al 0.5674 0.2970 0.0000
6 Al 0.4326 0.7030 0.0000
7 Al 0.2970 0.4326 0.0000
8 Al 0.7030 0.5674 0.0000
9 Al 0.2030 0.9326 0.0000
10 Al 0.7970 0.0674 0.0000
11 Al 0.0000 0.5000 0.0000
12 Al 0.5000 0.0000 0.0000
13 Al 0.7996 0.2996 0.3544
14 Al 0.5548 0.0548 0.3544
15 Al 0.9452 0.2004 0.6456
16 Al 0.7004 0.4452 0.6456
17 Al 0.2004 0.7004 0.6456
18 Al 0.4452 0.9452 0.6456
19 Al 0.2996 0.5548 0.3544
20 Al 0.0548 0.7996 0.3544
21 Ag 0.2991 0.7991 0.2505
22 Ag 0.9513 0.4513 0.2505
23 Ag 0.5487 0.7009 0.7495
24 Ag 0.2009 0.0487 0.7495
25 Ag 0.7009 0.2009 0.7495
26 Ag 0.0487 0.5487 0.7495
27 Ag 0.7991 0.9513 0.2505
28 Ag 0.4513 0.2991 0.2505



(3)
## Ce2YSb3 (PBE)

Data for crystalline Ce2YSb3 at its relaxed geometry.

## Properties
Formation energy from raw total energies, eV/f.u.: -6.476
Total magnetization, Bohr magnetons per cell: 6.61
Offset from the most stable computed form, meV/atom: 2

a = 6.3186 Å, b = 8.9299 Å, c = 13.3897 Å
α = 90.00°, β = 90.00°, γ = 90.00°
Each line ends with the local moment (μB).
Element x y z (fractional)
1 Ce 0.2505 0.8748 0.7479  0.76
2 Ce 0.2505 0.3748 0.7521  0.76
3 Ce 0.2497 0.8733 0.4172  0.76
4 Ce 0.2497 0.3733 0.0828  0.76
5 Ce 0.7503 0.6267 0.9172  0.76
6 Ce 0.7503 0.1267 0.5828  0.76
7 Ce 0.7495 0.6252 0.2479  0.76
8 Ce 0.7495 0.1252 0.2521  0.76
9 Y 0.2497 0.8762 0.0847  0.01
10 Y 0.2497 0.3762 0.4153  0.01
11 Y 0.7503 0.6238 0.5847  0.01
12 Y 0.7503 0.1238 0.9153  0.01
13 Sb 0.2503 0.6210 0.5822  -0.01
14 Sb 0.2503 0.1210 0.9178  -0.01
15 Sb 0.2503 0.6289 0.9184  -0.02
16 Sb 0.2503 0.1289 0.5816  -0.02
17 Sb 0.2495 0.6247 0.2496  -0.02
18 Sb 0.2495 0.1247 0.2504  -0.02
19 Sb 0.7505 0.8753 0.7496  -0.02
20 Sb 0.7505 0.3753 0.7504  -0.02
21 Sb 0.7497 0.8711 0.4184  -0.02
22 Sb 0.7497 0.3711 0.0816  -0.02
23 Sb 0.7497 0.8790 0.0822  -0.01
24 Sb 0.7497 0.3790 0.4178  -0.01



(4)
## Be2CrI8 (PBE)

Data for crystalline Be2CrI8 at its relaxed geometry.

## Properties
Formation energy from raw total energies, eV/f.u.: -4.186
Total magnetization, Bohr magnetons per cell: 3.59

a = 6.6976 Å, b = 8.4217 Å, c = 8.4217 Å
α = 95.74°, β = 82.03°, γ = 82.03°
Each line ends with the local moment (μB).
Element x y z (fractional)
1 Be 0.3179 0.2070 0.2070  0.01
2 Be 0.6821 0.7930 0.7930  0.01
3 Cr 0.0000 0.0000 0.0000  3.14
4 I 0.8034 0.0412 0.7397  -0.03
5 I 0.1966 0.2603 0.9588  -0.03
6 I 0.6795 0.2102 0.2102  -0.02
7 I 0.3205 0.7898 0.7898  -0.02
8 I 0.8034 0.7397 0.0412  -0.03
9 I 0.1966 0.9588 0.2603  -0.03
10 I 0.2355 0.4260 0.4260  0.12
11 I 0.7645 0.5740 0.5740  0.12